{"formula": "NbCrTc", "functional": "GGA-PBE", "state": "relaxed", "lattice": [[4.3747, 0.0000, 0.0000], [-2.1873, 3.7886, 0.0000], [0.0000, 0.0000, 5.4238]], "species": ["Nb", "Nb", "Cr", "Cr", "Tc", "Tc"], "frac_coords": [[0.0000, 0.0000, 0.0000], [0.3333, 0.6667, 0.3485], [0.0000, 0.0000, 0.5132], [0.6667, 0.3333, 0.6687], [0.3333, 0.6667, 0.8334], [0.6667, 0.3333, 0.1774]], "total_energy_ev_per_atom": -10.09, "e_form_mev_per_atom": -71, "relative_energy_mev_per_atom": 0, "crystal_system": "trigonal", "volume_a3_per_cell": 89.89}